DFT (PBE) results for a relaxed structure of Na2Cd2Au.

Unit cell a=7.2848 b=7.2848 c=4.8890 alpha=90.00 beta=90.00 gamma=90.00
Closest atoms and distances in Å follow each position.
Fractional positions:
Na (0.1738, 0.3262, 0.0000)  6 Cd 3.11-3.36
Na (0.3262, 0.8262, 0.0000)  6 Cd 3.11-3.36
Na (0.6738, 0.1738, 0.0000)  6 Cd 3.11-3.36
Na (0.8262, 0.6738, 0.0000)  6 Cd 3.11-3.36
Cd (0.1401, 0.6401, 0.5000)  2 Au 2.81, 1 Cd 2.89, 2 Na 3.11
Cd (0.3599, 0.1401, 0.5000)  2 Au 2.81, 1 Cd 2.89, 2 Na 3.11
Cd (0.6401, 0.8599, 0.5000)  2 Au 2.81, 1 Cd 2.89, 2 Na 3.11
Cd (0.8599, 0.3599, 0.5000)  2 Au 2.81, 1 Cd 2.89, 2 Na 3.11
Au (0.0000, 0.0000, 0.5000)  4 Cd 2.81
Au (0.5000, 0.5000, 0.5000)  4 Cd 2.81

Properties
* ΔE_f: -0.151 eV/atom
* energy relative to the lowest polymorph listed for this composition: 64.2 meV/atom
* DOS at the Fermi energy: 3.3 states/eV per cell
* DFT total energy: -1.700 eV per atom
* crystal system: tetragonal
* calculated density: 5.99 g/cm3
* volume: 259.4 Å³ per cell

=====

DFT (PBE) results for a relaxed structure of Tb8Te2Rh3.

Unit cell a=9.0028 b=9.0028 c=4.8453 alpha=90.00 beta=90.00 gamma=114.34
Closest atoms and distances in Å follow each position.
Fractional positions:
Tb (0.1081, 0.8919, 0.0000)  2 Rh 2.97, 2 Te 3.18, 1 Tb 3.27
Tb (0.1425, 0.3629, 0.5000)  3 Rh 2.93-2.94, 2 Te 3.20-3.26
Tb (0.3629, 0.1425, 0.5000)  3 Rh 2.93-2.94, 2 Te 3.20-3.26
Tb (0.3867, 0.6133, 0.0000)  4 Rh 2.95-2.97, 2 Te 3.24
Tb (0.6133, 0.3867, 0.0000)  4 Rh 2.95-2.97, 2 Te 3.24
Tb (0.6371, 0.8575, 0.5000)  3 Rh 2.93-2.94, 2 Te 3.20-3.26
Tb (0.8575, 0.6371, 0.5000)  3 Rh 2.93-2.94, 2 Te 3.20-3.26
Tb (0.8919, 0.1081, 0.0000)  2 Rh 2.97, 2 Te 3.18, 1 Tb 3.27
Te (0.2446, 0.7554, 0.5000)  8 Tb 3.18-3.26
Te (0.7554, 0.2446, 0.5000)  8 Tb 3.18-3.26
Rh (0.2537, 0.2537, 0.0000)  8 Tb 2.94-2.97
Rh (0.5000, 0.5000, 0.5000)  8 Tb 2.93-2.97
Rh (0.7463, 0.7463, 0.0000)  8 Tb 2.94-2.97

Properties
* DOS at the Fermi energy: 9.5 states/eV per cell
* DFT total energy: -5.740 eV per atom
* crystal system: orthorhombic
* calculated density: 8.52 g/cm3
* raw formation energy: -16.40 kcal/mol of atoms
* volume: 357.8 Å³ per cell

=====

DFT (PBE) results for a relaxed structure of RbGe2Sb2.

Unit cell a=8.8281 b=8.8281 c=3.7601 alpha=90.00 beta=90.00 gamma=90.00
Closest atoms and distances in Å follow each position.
Fractional positions:
Rb (0.0000, 0.0000, 0.0000)  4 Ge 3.54, 2 Rb 3.76, 8 Sb 3.87
Rb (0.5000, 0.5000, 0.0000)  4 Ge 3.54, 2 Rb 3.76, 8 Sb 3.87
Ge (0.1156, 0.3844, 0.0000)  1 Ge 2.89, 4 Sb 2.98
Ge (0.3844, 0.8844, 0.0000)  1 Ge 2.89, 4 Sb 2.98
Ge (0.6156, 0.1156, 0.0000)  1 Ge 2.89, 4 Sb 2.98
Ge (0.8844, 0.6156, 0.0000)  1 Ge 2.89, 4 Sb 2.98
Sb (0.1453, 0.6453, 0.5000)  4 Ge 2.98
Sb (0.3547, 0.1453, 0.5000)  4 Ge 2.98
Sb (0.6453, 0.8547, 0.5000)  4 Ge 2.98
Sb (0.8547, 0.3547, 0.5000)  4 Ge 2.98

Properties
* energy relative to the lowest polymorph listed for this composition: 126.9 meV/atom
* DOS at the Fermi energy: 3.4 states/eV per cell
* DFT total energy: -3.650 eV per atom
* crystal system: tetragonal
* calculated density: 5.37 g/cm3
* raw formation energy: 0.91 kcal/mol of atoms
* volume: 293.0 Å³ per cell